Computed, not measured: an optimized crystal structure of Pm2ScN at the GGA-PBE level of DFT.

Cell and atoms, written as CIF:
```
data_Pm2ScN
_symmetry_space_group_name_H-M 'R -3 m'
_symmetry_Int_Tables_number 166
_symmetry_space_group_name_Hall '-R 3 2"'
_cell_length_a 3.5052
_cell_length_b 3.5052
_cell_length_c 27.9065
_cell_angle_alpha 90.00
_cell_angle_beta 90.00
_cell_angle_gamma 120.00
loop_
_atom_site_label
_atom_site_fract_x
_atom_site_fract_y
_atom_site_fract_z
_atom_site_occupancy
Pm1 0.0000 0.0000 0.1168 1
Sc1 0.0000 0.0000 0.0000 1
N1 0.0000 0.0000 0.5000 1
```

## Properties
Spin magnetization: 0.0 μB/f.u.
Crystal system: trigonal
Formation energy without anion corrections: -0.508 eV per atom
Raw total energy: -6.55 eV per atom